1.
Below is an optimized crystal structure of Na3Np2HgSe6, with properties calculated at the PBE level.

Its total DFT energy (no corrections) is -5.246 eV/atom.

The structure belongs to space group C2/m (No. 12); the cell edges are 7.260, 12.517 and 7.362 Å and the angles 90.00°, 109.19° and 90.00°. The distinct sites, in fractional coordinates, are Na at (0.000, 0.000, 0.000), Na at (0.000, 0.340, 0.000), Np at (0.000, 0.167, 0.500), Hg at (0.000, 0.500, 0.500), Se at (0.231, 0.000, 0.731) and Se at (0.250, 0.172, 0.269).

***

2.
Below is an optimized crystal structure of Na3Np3HgSe8, with properties calculated at the PBE level.

Its total DFT energy (no corrections) is -5.726 eV/atom.

The structure belongs to space group C2/m (No. 12); the cell edges are 14.314, 8.264 and 8.468 Å and the angles 90.00°, 124.29° and 90.00°. The distinct sites, in fractional coordinates, are Na at (0.000, 0.000, 0.000), Na at (0.250, 0.250, 0.000), Np at (0.000, 0.500, 0.500), Np at (0.250, 0.250, 0.500), Hg at (0.000, 0.000, 0.500), Se at (0.010, 0.258, 0.271), Se at (0.244, 0.500, 0.731) and Se at (0.250, 0.000, 0.730).

***

3.
Below is an optimized crystal structure of Na2NpHgTe4, with properties calculated at the PBE level.

Its total DFT energy (no corrections) is -4.131 eV/atom.

The structure belongs to space group P2/m (No. 10); the cell edges are 7.914, 4.403 and 7.987 Å and the angles 90.00°, 111.22° and 90.00°. The distinct sites, in fractional coordinates, are Na at (0.000, 0.000, 0.000), Na at (0.500, 0.500, 0.000), Np at (0.000, 0.500, 0.500), Hg at (0.500, 0.000, 0.500), Te at (0.224, 0.000, 0.747) and Te at (0.261, 0.500, 0.290).

***

| no. | formation energy without anion corrections (eV per formula unit) |
| --- | --- |
| 1 | -11.9 |
| 2 | -14.9 |
| 3 | -4.6 |